{
  "formula": "CaTh2CrN4",
  "functional": "PBE",
  "state": "relaxed",
  "lattice_angstrom": [[1.784, -5.997, 0.000], [1.784, 5.997, 0.000], [0.000, 0.000, 12.246]],
  "species": ["Ca", "Ca", "Th", "Th", "Th", "Th", "Cr", "Cr", "N", "N", "N", "N", "N", "N", "N", "N"],
  "fractional_positions": [[0.104, 0.896, 0.750], [0.896, 0.104, 0.250], [0.368, 0.632, 0.548], [0.368, 0.632, 0.952], [0.632, 0.368, 0.048], [0.632, 0.368, 0.452], [0.173, 0.827, 0.250], [0.827, 0.173, 0.750], [0.000, 0.000, 0.000], [0.000, 0.000, 0.500], [0.263, 0.737, 0.125], [0.263, 0.737, 0.375], [0.406, 0.594, 0.750], [0.594, 0.406, 0.250], [0.737, 0.263, 0.625], [0.737, 0.263, 0.875]],
  "dft_energy_ev_per_atom": -8.539
}



{
  "formula": "Pu2Th2Ge4Ir",
  "functional": "PBE",
  "state": "relaxed",
  "lattice_angstrom": [[-3.574, 3.574, 4.120], [3.574, -3.574, 4.120], [3.574, 3.574, -4.120]],
  "species": ["Pu", "Pu", "Th", "Th", "Ge", "Ge", "Ge", "Ge", "Ir"],
  "fractional_positions": [[0.174, 0.174, 0.000], [0.826, 0.826, 0.000], [0.250, 0.750, 0.500], [0.750, 0.250, 0.500], [0.254, 0.254, 0.509], [0.254, 0.746, 0.000], [0.746, 0.254, 0.000], [0.746, 0.746, 0.491], [0.500, 0.500, 0.000]],
  "dft_energy_ev_per_atom": -8.257,
  "formation_energy_ev_per_fu": -3.48
}



{
  "formula": "Si3BiPd",
  "functional": "PBE",
  "state": "relaxed",
  "lattice_angstrom": [[4.775, 0.000, 0.000], [0.000, 4.775, 0.000], [0.000, 0.000, 4.775]],
  "species": ["Si", "Si", "Si", "Bi", "Pd"],
  "fractional_positions": [[0.000, 0.000, 0.500], [0.000, 0.500, 0.000], [0.500, 0.000, 0.000], [0.500, 0.500, 0.500], [0.000, 0.000, 0.000]],
  "dft_energy_ev_per_atom": -4.593,
  "e_above_lowest_polymorph_ev_per_fu": 0.00
}



{
  "formula": "Pm3Al3Cu8",
  "functional": "PBE",
  "state": "relaxed",
  "lattice_angstrom": [[-2.133, 4.440, 6.392], [2.133, -4.440, 6.392], [2.133, 4.440, -6.392]],
  "species": ["Pm", "Pm", "Pm", "Al", "Al", "Al", "Cu", "Cu", "Cu", "Cu", "Cu", "Cu", "Cu", "Cu"],
  "fractional_positions": [[0.000, 0.000, 0.000], [0.294, 0.294, 0.000], [0.706, 0.706, 0.000], [0.296, 0.500, 0.796], [0.500, 0.000, 0.500], [0.704, 0.500, 0.204], [0.020, 0.666, 0.354], [0.157, 0.871, 0.286], [0.312, 0.666, 0.646], [0.415, 0.129, 0.286], [0.585, 0.871, 0.714], [0.688, 0.334, 0.354], [0.843, 0.129, 0.714], [0.980, 0.334, 0.646]],
  "dft_energy_ev_per_atom": -4.441,
  "e_above_lowest_polymorph_ev_per_fu": 0.35,
  "formation_energy_ev_per_fu": -3.92
}



{
  "formula": "La5Sm2",
  "functional": "PBE",
  "state": "relaxed",
  "lattice_angstrom": [[2.935, 1.694, 8.459], [-2.935, 1.694, 8.459], [0.000, -3.389, 8.459]],
  "species": ["La", "La", "La", "La", "La", "Sm", "Sm"],
  "fractional_positions": [[0.000, 0.000, 0.000], [0.298, 0.298, 0.298], [0.432, 0.432, 0.432], [0.568, 0.568, 0.568], [0.702, 0.702, 0.702], [0.158, 0.158, 0.158], [0.842, 0.842, 0.842]],
  "dft_energy_ev_per_atom": -4.760,
  "e_above_lowest_polymorph_ev_per_fu": 0.11,
  "formation_energy_ev_per_fu": 0.76
}



{
  "formula": "Y2CdHIr",
  "functional": "PBE",
  "state": "relaxed",
  "lattice_angstrom": [[4.782, 0.000, 0.000], [0.000, 4.782, 0.000], [0.000, 0.000, 4.036]],
  "species": ["Y", "Y", "Cd", "H", "Ir"],
  "fractional_positions": [[0.000, 0.500, 0.000], [0.500, 0.000, 0.000], [0.000, 0.000, 0.500], [0.000, 0.000, 0.000], [0.500, 0.500, 0.500]],
  "dft_energy_ev_per_atom": -5.584,
  "e_above_lowest_polymorph_ev_per_fu": 0.70
}



{
  "formula": "MgZnI2O8",
  "functional": "PBE",
  "state": "relaxed",
  "lattice_angstrom": [[-3.476, 3.476, 3.368], [3.476, -3.476, 3.368], [3.476, 3.476, -3.368]],
  "species": ["Mg", "Zn", "I", "I", "O", "O", "O", "O", "O", "O", "O", "O"],
  "fractional_positions": [[0.000, 0.000, 0.000], [0.250, 0.750, 0.500], [0.500, 0.500, 0.000], [0.750, 0.250, 0.500], [0.300, 0.104, 0.804], [0.300, 0.496, 0.196], [0.363, 0.058, 0.305], [0.504, 0.700, 0.804], [0.753, 0.058, 0.695], [0.896, 0.700, 0.196], [0.942, 0.247, 0.305], [0.942, 0.637, 0.695]],
  "dft_energy_ev_per_atom": -4.364
}



{
  "formula": "TiGe2SeS",
  "functional": "PBE",
  "state": "relaxed",
  "lattice_angstrom": [[4.975, 0.000, 0.000], [0.000, 4.975, 0.000], [0.000, 0.000, 4.710]],
  "species": ["Ti", "Ge", "Ge", "Se", "S"],
  "fractional_positions": [[0.000, 0.000, 0.000], [0.000, 0.500, 0.500], [0.500, 0.000, 0.500], [0.500, 0.500, 0.500], [0.500, 0.500, 0.000]],
  "dft_energy_ev_per_atom": -4.048
}



{
  "formula": "Na3CuSb3S8",
  "functional": "PBE",
  "state": "relaxed",
  "lattice_angstrom": [[3.808, 2.199, 6.924], [-3.808, 2.199, 6.924], [0.000, -4.397, 6.924]],
  "species": ["Na", "Na", "Na", "Cu", "Sb", "Sb", "Sb", "S", "S", "S", "S", "S", "S", "S", "S"],
  "fractional_positions": [[0.000, 0.500, 0.500], [0.500, 0.000, 0.500], [0.500, 0.500, 0.000], [0.500, 0.500, 0.500], [0.000, 0.000, 0.500], [0.000, 0.500, 0.000], [0.500, 0.000, 0.000], [0.244, 0.244, 0.244], [0.261, 0.724, 0.724], [0.276, 0.276, 0.739], [0.276, 0.739, 0.276], [0.724, 0.261, 0.724], [0.724, 0.724, 0.261], [0.739, 0.276, 0.276], [0.756, 0.756, 0.756]],
  "dft_energy_ev_per_atom": -3.992
}



{
  "formula": "Cs4Dy3TiTe8",
  "functional": "PBE",
  "state": "relaxed",
  "lattice_angstrom": [[4.479, 2.586, 8.888], [-4.479, 2.586, 8.888], [0.000, -5.172, 8.888]],
  "species": ["Cs", "Cs", "Cs", "Cs", "Dy", "Dy", "Dy", "Ti", "Te", "Te", "Te", "Te", "Te", "Te", "Te", "Te"],
  "fractional_positions": [[0.000, 0.000, 0.000], [0.000, 0.500, 0.500], [0.500, 0.000, 0.500], [0.500, 0.500, 0.000], [0.000, 0.000, 0.500], [0.000, 0.500, 0.000], [0.500, 0.000, 0.000], [0.500, 0.500, 0.500], [0.231, 0.231, 0.231], [0.245, 0.719, 0.719], [0.281, 0.281, 0.755], [0.281, 0.755, 0.281], [0.719, 0.245, 0.719], [0.719, 0.719, 0.245], [0.755, 0.281, 0.281], [0.769, 0.769, 0.769]],
  "dft_energy_ev_per_atom": -4.357
}



{
  "formula": "HoAl4Cu2",
  "functional": "PBE",
  "state": "relaxed",
  "lattice_angstrom": [[16.842, 0.000, 0.000], [0.000, 4.172, 0.000], [0.000, 0.000, 6.598]],
  "species": ["Ho", "Ho", "Ho", "Ho", "Al", "Al", "Al", "Al", "Al", "Al", "Al", "Al", "Al", "Al", "Al", "Al", "Al", "Al", "Al", "Al", "Cu", "Cu", "Cu", "Cu", "Cu", "Cu", "Cu", "Cu"],
  "fractional_positions": [[0.139, 0.250, 0.012], [0.361, 0.750, 0.512], [0.639, 0.250, 0.488], [0.861, 0.750, 0.988], [0.032, 0.750, 0.841], [0.071, 0.250, 0.493], [0.186, 0.750, 0.323], [0.193, 0.750, 0.722], [0.307, 0.250, 0.222], [0.314, 0.250, 0.823], [0.429, 0.750, 0.993], [0.468, 0.250, 0.341], [0.532, 0.750, 0.659], [0.571, 0.250, 0.007], [0.686, 0.750, 0.177], [0.693, 0.750, 0.778], [0.807, 0.250, 0.278], [0.814, 0.250, 0.677], [0.929, 0.750, 0.507], [0.968, 0.250, 0.159], [0.039, 0.750, 0.247], [0.219, 0.250, 0.526], [0.281, 0.750, 0.026], [0.461, 0.250, 0.747], [0.539, 0.750, 0.253], [0.719, 0.250, 0.974], [0.781, 0.750, 0.474], [0.961, 0.250, 0.753]],
  "dft_energy_ev_per_atom": -4.333,
  "e_above_lowest_polymorph_ev_per_fu": 0.00,
  "formation_energy_ev_per_fu": -2.59
}



{
  "formula": "Ce2HoSc3As6",
  "functional": "PBE",
  "state": "relaxed",
  "lattice_angstrom": [[3.498, -6.059, 0.000], [3.498, 6.059, 0.000], [-2.332, 0.000, 6.542]],
  "species": ["Ce", "Ce", "Ho", "Sc", "Sc", "Sc", "As", "As", "As", "As", "As", "As"],
  "fractional_positions": [[0.166, 0.834, 0.000], [0.834, 0.166, 0.000], [0.500, 0.500, 0.000], [0.000, 0.000, 0.500], [0.333, 0.667, 0.500], [0.667, 0.333, 0.500], [0.080, 0.411, 0.733], [0.259, 0.259, 0.268], [0.411, 0.080, 0.733], [0.589, 0.920, 0.267], [0.741, 0.741, 0.732], [0.920, 0.589, 0.267]],
  "dft_energy_ev_per_atom": -6.683,
  "formation_energy_ev_per_fu": -16.86
}